Computed, not measured: crystalline Li2PuThSe4 at its relaxed geometry at the PBE-GGA level of DFT.

a = 6.9485 Å, b = 4.1672 Å, c = 7.1850 Å
α = 90.00°, β = 110.10°, γ = 90.00°
With the nearest neighbours (Å) after each atom.
Space group P2/m (No. 10)
Inequivalent atoms, fractional coordinates:
Li 0.0000 0.0000 0.0000 [1 per cell]  6 Se 2.83-2.87
Li 0.0000 0.5000 0.5000 [1 per cell]  6 Se 2.86-2.87
Pu 0.5000 0.0000 0.5000 [1 per cell]  6 Se 2.94-2.96
Th 0.5000 0.5000 0.0000 [1 per cell]  6 Se 2.92-2.95
Se 0.2362 0.0000 0.7477 [2 per cell]  3 Li 2.83-2.86, 2 Th 2.95, 1 Pu 2.96
Se 0.2416 0.5000 0.2460 [2 per cell]  3 Li 2.87, 1 Th 2.92, 2 Pu 2.94

Density of states at the Fermi level   1.517 states/eV per atom
Magnetic moment   6.0 μB/f.u.
DFT total energy   -51.280 eV/cell
ΔE_f (raw)   -1.470 eV/atom